Y12Pd6N | Alexandria | PBE | relaxed; raw total energy = -128.95 eV for the cell shown; SG = R-3; energy relative to the elements, uncorrected = -11.9 eV/f.u.
1.0
-7.576 1.280 2.302
2.325 -4.526 6.200
3.126 6.971 2.443
Y Pd N
12 6 1
Direct
0.812 0.585 0.436
0.979 0.305 0.079
0.921 0.021 0.695
0.415 0.564 0.188
0.079 0.979 0.305
0.188 0.415 0.564
0.695 0.921 0.021
0.585 0.436 0.812
0.021 0.695 0.921
0.305 0.079 0.979
0.564 0.188 0.415
0.436 0.812 0.585
0.701 0.882 0.364
0.882 0.364 0.701
0.118 0.636 0.299
0.299 0.118 0.636
0.636 0.299 0.118
0.364 0.701 0.882
0.000 0.000 0.000